The following is a DFT calculation (PBE-GGA) of a relaxed structure of BaSr2Te.

DOS at the Fermi energy in states/eV/cell: 3.74
Total magnetic moment in Bohr magnetons per cell: 0.00
Formation energy (no corrections) in eV per atom: -0.742
Space group: P4mm

abc: 4.2002 4.2002 10.8538
angles: 90.00 90.00 90.00
Fractional positions:
Ba1 0.0000 0.0000 0.0000
Sr1 0.0000 0.0000 0.6337
Sr2 0.5000 0.5000 0.3297
Te1 0.5000 0.5000 0.8068

=====

The following is a DFT calculation (PBE-GGA) of a relaxed structure of BaSr2Te.

DOS at the Fermi energy in states/eV/cell: 1.05
Total magnetic moment in Bohr magnetons per cell: 0.00
Formation energy (no corrections) in eV per atom: -0.543
Space group: I-4m2

abc: 7.3693 7.3693 7.3693
angles: 138.26 138.26 60.51
Fractional positions:
Ba1 0.0000 0.0000 0.0000
Sr1 0.2500 0.7500 0.5000
Sr2 0.5000 0.5000 0.0000
Te1 0.7500 0.2500 0.5000